A relaxed structure of Cs2NaHgO. Source: Alexandria via LeMat-Bulk, functional GGA-PBE.

Cell lengths 6.305, 6.305, 4.548 Å; angles 90.00, 90.00, 90.00 degrees
Positions (direct):
1 Cs 0.000 0.500 0.000
2 Cs 0.500 0.000 0.000
3 Na 0.000 0.000 0.500
4 Hg 0.500 0.500 0.500
5 O 0.000 0.000 0.000

Density ... 4.643 g/cm3
Raw formation energy ... -0.624 eV per atom
VASP energy ... -2.281 eV/atom

A relaxed structure of Zr2BeNi. Source: Alexandria via LeMat-Bulk, functional GGA-PBE.

Cell lengths 7.158, 7.158, 5.736 Å; angles 51.39, 51.39, 90.00 degrees
Positions (direct):
1 Ni 0.000 0.000 0.000
2 Ni 0.750 0.250 0.500
3 Zr 0.641 0.125 0.250
4 Zr 0.109 0.625 0.250
5 Zr 0.375 0.359 0.750
6 Zr 0.875 0.891 0.750
7 Be 0.500 0.500 0.000
8 Be 0.250 0.750 0.500

Formation energy ... 0.248 eV per atom
Density ... 6.009 g/cm3
VASP energy ... -6.403 eV/atom

- Among the records above, which one has the lowest VASP energy?
  Zr2BeNi

Repeat the second record exactly.
A relaxed structure of Zr2BeNi. Source: Alexandria via LeMat-Bulk, functional GGA-PBE.

Cell lengths 7.158, 7.158, 5.736 Å; angles 51.39, 51.39, 90.00 degrees
Positions (direct):
1 Ni 0.000 0.000 0.000
2 Ni 0.750 0.250 0.500
3 Zr 0.641 0.125 0.250
4 Zr 0.109 0.625 0.250
5 Zr 0.375 0.359 0.750
6 Zr 0.875 0.891 0.750
7 Be 0.500 0.500 0.000
8 Be 0.250 0.750 0.500

Formation energy ... 0.248 eV per atom
Density ... 6.009 g/cm3
VASP energy ... -6.403 eV/atom

- Among the records above, which one has the highest density?
  Zr2BeNi